No. 1
SrThIr4 | PBE | relaxed

```
SrThIr4
1.0
0.000 3.862 3.862
3.862 0.000 3.862
3.862 3.862 0.000
Ir Th Sr
4 1 1
Cartesian
2.895 4.829 4.829
4.829 4.829 2.895
2.895 2.895 2.895
4.829 2.895 4.829
5.793 5.793 5.793
0.000 0.000 0.000
```

=====

No. 2
SrThIr | PBE | relaxed

```
SrThIr
1.0
-1.452 -4.044 -2.587
-2.193 -3.838 2.369
-4.882 -0.914 -0.692
Sr Th Ir
1 1 1
Cartesian
-6.396 -6.597 -0.682
-2.132 -2.199 -0.227
0.000 0.000 0.000
```

=====

No. 3
SrIrW2 | PBE | relaxed

```
SrIrW2
1.0
-3.275 -0.809 3.258
-4.115 -1.885 -1.229
-1.029 -4.403 1.248
W Sr Ir
2 1 1
Cartesian
-2.105 -1.774 0.819
0.000 0.000 0.000
-6.315 -5.323 2.458
-4.210 -3.549 1.639
```

=====

No. 4
SrZnIr2 | PBE | relaxed

```
SrZnIr2
1.0
-2.407 -3.051 2.659
-2.419 1.532 3.738
-4.708 0.007 -0.084
Ir Zn Sr
2 1 1
Cartesian
-7.150 -1.134 4.734
0.000 0.000 0.000
-2.383 -0.378 1.578
-4.767 -0.756 3.156
```

=====

no.,DFT total energy (eV/atom)
1,-8.008
2,-6.233
3,-8.249
4,-4.797